1.
Cd3Hg9Pb2 after structural relaxation. Source: the Alexandria database, functional PBE.

The raw total energy comes out at -0.8701 eV per atom. The formation energy comes out at 0.696 eV per formula unit. The total moment comes out at 0.000 μB/cell. For the density of states at the Fermi level, the calculation gives 19.76 states/eV per cell.

Geometry as CIF:
```
data_Cd3Hg9Pb2
_chemical_formula_sum 'Cd12 Hg36 Pb8'
_symmetry_space_group_name_H-M 'C 1 2/m 1'
_symmetry_Int_Tables_number 12
_cell_length_a 8.993
_cell_length_b 20.141
_cell_length_c 9.150
_cell_angle_alpha 90.00
_cell_angle_beta 107.45
_cell_angle_gamma 90.00
loop_
_symmetry_equiv_pos_as_xyz
'x,y,z'
'-x,-y,-z'
'-x,y,-z'
'x,-y,z'
'x+1/2,y+1/2,z'
'-x+1/2,-y+1/2,-z'
'-x+1/2,y+1/2,-z'
'x+1/2,-y+1/2,z'
loop_
_atom_site_label
_atom_site_type_symbol
_atom_site_fract_x
_atom_site_fract_y
_atom_site_fract_z
_atom_site_occupancy
Cd1 Cd 0.011 0.106 0.333 1
Cd2 Cd 0.203 0.000 0.859 1
Hg1 Hg 0.000 0.236 0.500 1
Hg2 Hg 0.037 0.500 0.845 1
Hg3 Hg 0.058 0.236 0.177 1
Hg4 Hg 0.139 0.000 0.173 1
Hg5 Hg 0.203 0.420 0.407 1
Hg6 Hg 0.225 0.347 0.070 1
Pb1 Pb 0.136 0.361 0.708 1
```


2.
SmHo4In3 after structural relaxation. Source: the Alexandria database, functional PBE.

The raw total energy comes out at -4.1204 eV per atom. The formation energy comes out at -1.718 eV per formula unit. The total moment comes out at 1.256 μB/cell. For the density of states at the Fermi level, the calculation gives 16.53 states/eV per cell. The relative energy among the computed polymorphs comes out at 0.094 eV/atom.

Geometry as CIF:
```
data_SmHo4In3
_chemical_formula_sum 'Sm2 Ho8 In6'
_symmetry_space_group_name_H-M 'I m m m'
_symmetry_Int_Tables_number 71
_symmetry_space_group_name_Hall '-I 2 2'
_cell_length_a 3.482
_cell_length_b 8.782
_cell_length_c 15.243
_cell_angle_alpha 90.00
_cell_angle_beta 90.00
_cell_angle_gamma 90.00
loop_
_atom_site_label
_atom_site_type_symbol
_atom_site_fract_x
_atom_site_fract_y
_atom_site_fract_z
_atom_site_occupancy
Sm1 Sm 0.000 0.000 0.000 1
Ho1 Ho 0.000 0.302 0.141 1
In1 In 0.000 0.000 0.500 1
In2 In 0.000 0.500 0.314 1
```


3.
CaCr3Si after structural relaxation. Source: the Alexandria database, functional PBE.

The raw total energy comes out at -6.5436 eV per atom. The total moment comes out at 10.002 μB/cell. For the density of states at the Fermi level, the calculation gives 7.08 states/eV per cell. The relative energy among the computed polymorphs comes out at 0.000 eV/atom.

Geometry as CIF:
```
data_CaCr3Si
_chemical_formula_sum 'Ca1 Cr3 Si1'
_symmetry_space_group_name_H-M 'P m -3 m'
_symmetry_Int_Tables_number 221
_symmetry_space_group_name_Hall '-P 4 2 3'
_cell_length_a 4.669
_cell_length_b 4.669
_cell_length_c 4.669
_cell_angle_alpha 90.00
_cell_angle_beta 90.00
_cell_angle_gamma 90.00
loop_
_atom_site_label
_atom_site_type_symbol
_atom_site_fract_x
_atom_site_fract_y
_atom_site_fract_z
_atom_site_occupancy
Ca1 Ca 0.000 0.000 0.000 1
Cr1 Cr 0.000 0.500 0.500 1
Si1 Si 0.500 0.500 0.500 1
```


4.
CuSbAu after structural relaxation. Source: the Alexandria database, functional PBE.

The raw total energy comes out at -3.7160 eV per atom. The total moment comes out at 0.000 μB/cell. For the density of states at the Fermi level, the calculation gives 0.78 states/eV per cell. The relative energy among the computed polymorphs comes out at 0.125 eV/atom.

Geometry as CIF:
```
data_CuSbAu
_chemical_formula_sum 'Cu1 Sb1 Au1'
_symmetry_space_group_name_H-M 'P 3 m 1'
_symmetry_Int_Tables_number 156
_cell_length_a 4.1518
_cell_length_b 4.1518
_cell_length_c 4.0006
_cell_angle_alpha 90.00
_cell_angle_beta 90.00
_cell_angle_gamma 120.00
loop_
_symmetry_equiv_pos_as_xyz
'x,y,z'
'-y,x-y,z'
'-x+y,-x,z'
'-y,-x,z'
'-x+y,y,z'
'x,x-y,z'
loop_
_atom_site_label
_atom_site_type_symbol
_atom_site_fract_x
_atom_site_fract_y
_atom_site_fract_z
_atom_site_occupancy
Cu1 Cu 0.0000 0.0000 0.0000 1
Sb1 Sb 0.6667 0.3333 0.3169 1
Au1 Au 0.3333 0.6667 0.7278 1
```


5.
Sr2Si2Ge after structural relaxation. Source: the Alexandria database, functional PBE.

The raw total energy comes out at -4.0844 eV per atom. The total moment comes out at 0.000 μB/cell. For the density of states at the Fermi level, the calculation gives 4.34 states/eV per cell. The relative energy among the computed polymorphs comes out at 0.078 eV/atom.

Geometry as CIF:
```
data_Sr2Si2Ge
_chemical_formula_sum 'Sr4 Si4 Ge2'
_symmetry_space_group_name_H-M 'P 4/m b m'
_symmetry_Int_Tables_number 127
_symmetry_space_group_name_Hall '-P 4 2ab'
_cell_length_a 7.354
_cell_length_b 7.354
_cell_length_c 4.724
_cell_angle_alpha 90.00
_cell_angle_beta 90.00
_cell_angle_gamma 90.00
loop_
_atom_site_label
_atom_site_type_symbol
_atom_site_fract_x
_atom_site_fract_y
_atom_site_fract_z
_atom_site_occupancy
Sr1 Sr 0.181 0.319 0.000 1
Si1 Si 0.114 0.614 0.500 1
Ge1 Ge 0.000 0.000 0.500 1
```


6.
CeYNiPt after structural relaxation. Source: the Alexandria database, functional PBE.

The raw total energy comes out at -6.7281 eV per atom. The formation energy comes out at -2.692 eV per formula unit. The total moment comes out at 2.102 μB/cell. For the density of states at the Fermi level, the calculation gives 25.88 states/eV per cell. The relative energy among the computed polymorphs comes out at 0.111 eV/atom.

Geometry as CIF:
```
data_CeYNiPt
_chemical_formula_sum 'Ce4 Y4 Ni4 Pt4'
_symmetry_space_group_name_H-M 'F -4 3 m'
_symmetry_Int_Tables_number 216
_symmetry_space_group_name_Hall 'F -4 2 3'
_cell_length_a 6.978
_cell_length_b 6.978
_cell_length_c 6.978
_cell_angle_alpha 90.00
_cell_angle_beta 90.00
_cell_angle_gamma 90.00
loop_
_atom_site_label
_atom_site_type_symbol
_atom_site_fract_x
_atom_site_fract_y
_atom_site_fract_z
_atom_site_occupancy
Ce1 Ce 0.000 0.000 0.000 1
Y1 Y 0.000 0.000 0.500 1
Ni1 Ni 0.250 0.250 0.250 1
Pt1 Pt 0.250 0.250 0.750 1
```


7.
Ac2Pm3Y3 after structural relaxation. Source: the Alexandria database, functional PBE.

The raw total energy comes out at -5.0865 eV per atom. The formation energy comes out at 1.169 eV per formula unit. The total moment comes out at 0.000 μB/cell. For the density of states at the Fermi level, the calculation gives 41.56 states/eV per cell.

Geometry as CIF:
```
data_Ac2Pm3Y3
_chemical_formula_sum 'Ac8 Pm12 Y12'
_symmetry_space_group_name_H-M 'C m c m'
_symmetry_Int_Tables_number 63
_symmetry_space_group_name_Hall '-C 2c 2'
_cell_length_a 3.825
_cell_length_b 17.531
_cell_length_c 17.757
_cell_angle_alpha 90.00
_cell_angle_beta 90.00
_cell_angle_gamma 90.00
loop_
_atom_site_label
_atom_site_type_symbol
_atom_site_fract_x
_atom_site_fract_y
_atom_site_fract_z
_atom_site_occupancy
Ac1 Ac 0.000 0.249 0.105 1
Pm1 Pm 0.000 0.092 0.541 1
Pm2 Pm 0.000 0.118 0.250 1
Y1 Y 0.000 0.091 0.750 1
Y2 Y 0.000 0.455 0.619 1
```


8.
OsC2 after structural relaxation. Source: the Alexandria database, functional PBE.

The raw total energy comes out at -8.6580 eV per atom. The formation energy comes out at 3.703 eV per formula unit. The total moment comes out at 0.000 μB/cell. For the density of states at the Fermi level, the calculation gives 2.28 states/eV per cell. The relative energy among the computed polymorphs comes out at 0.671 eV/atom.

Geometry as CIF:
```
data_OsC2
_chemical_formula_sum 'Os2 C4'
_symmetry_space_group_name_H-M 'A m m 2'
_symmetry_Int_Tables_number 38
_cell_length_a 2.873
_cell_length_b 4.733
_cell_length_c 5.719
_cell_angle_alpha 90.00
_cell_angle_beta 90.00
_cell_angle_gamma 90.00
loop_
_symmetry_equiv_pos_as_xyz
'x,y,z'
'-x,-y,z'
'-x,y,z'
'x,-y,z'
'x,y+1/2,z+1/2'
'-x,-y+1/2,z+1/2'
'-x,y+1/2,z+1/2'
'x,-y+1/2,z+1/2'
loop_
_atom_site_label
_atom_site_type_symbol
_atom_site_fract_x
_atom_site_fract_y
_atom_site_fract_z
_atom_site_occupancy
Os1 Os 0.000 0.000 0.000 1
C1 C 0.000 0.145 0.338 1
```